# 1
# PBE-GGA KVSe2, relaxed
data_KVSe2
_chemical_formula_sum 'K4 V4 Se8'
_symmetry_space_group_name_H-M 'I 4/m c m'
_symmetry_Int_Tables_number 140
_symmetry_space_group_name_Hall '-I 4 2c'
_cell_length_a 8.140
_cell_length_b 8.140
_cell_length_c 6.550
_cell_angle_alpha 90.00
_cell_angle_beta 90.00
_cell_angle_gamma 90.00
loop_
_atom_site_label
_atom_site_type_symbol
_atom_site_fract_x
_atom_site_fract_y
_atom_site_fract_z
K1 K 0.000 0.000 0.250
V1 V 0.000 0.500 0.250
Se1 Se 0.158 0.342 0.000
# **ΔE_f (raw)**: -837 meV/atom
# **DOS(E_F)**: 2.42 states/eV/f.u.
# **Calculated volume**: 27.13 Å³ per atom
# **DFT total energy**: -0.189 Ha/atom
# **Theoretical density**: 3.8 g/cm³


# 2
# PBE-GGA Sr2Mg4Rh, relaxed
data_Sr2Mg4Rh
_chemical_formula_sum 'Sr4 Mg8 Rh2'
_symmetry_space_group_name_H-M 'I 4/m m m'
_symmetry_Int_Tables_number 139
_symmetry_space_group_name_Hall '-I 4 2'
_cell_length_a 5.048
_cell_length_b 5.048
_cell_length_c 17.266
_cell_angle_alpha 90.00
_cell_angle_beta 90.00
_cell_angle_gamma 90.00
loop_
_atom_site_label
_atom_site_type_symbol
_atom_site_fract_x
_atom_site_fract_y
_atom_site_fract_z
Sr1 Sr 0.000 0.000 0.152
Mg1 Mg 0.000 0.000 0.354
Mg2 Mg 0.000 0.500 0.000
Rh1 Rh 0.000 0.000 0.500
# **DOS(E_F)**: 3.47 states/eV/f.u.
# **Calculated volume**: 31.43 Å³ per atom
# **DFT total energy**: -0.094 Ha/atom
# **Theoretical density**: 2.8 g/cm³
# **Formation energy from the elements**: -77 kJ/mol of formula units


# 3
# PBE-GGA TbY4In5, relaxed
data_TbY4In5
_chemical_formula_sum 'Tb1 Y4 In5'
_symmetry_space_group_name_H-M 'P 4/m m m'
_symmetry_Int_Tables_number 123
_symmetry_space_group_name_Hall '-P 4 2'
_cell_length_a 3.756
_cell_length_b 3.756
_cell_length_c 18.960
_cell_angle_alpha 90.00
_cell_angle_beta 90.00
_cell_angle_gamma 90.00
loop_
_atom_site_label
_atom_site_type_symbol
_atom_site_fract_x
_atom_site_fract_y
_atom_site_fract_z
Tb1 Tb 0.000 0.000 0.000
Y1 Y 0.000 0.000 0.200
Y2 Y 0.000 0.000 0.400
In1 In 0.500 0.500 0.100
In2 In 0.500 0.500 0.300
In3 In 0.500 0.500 0.500
# **DOS(E_F)**: 6.14 states/eV/f.u.
# **Calculated volume**: 26.75 Å³ per atom
# **DFT total energy**: -0.180 Ha/atom
# **Theoretical density**: 6.8 g/cm³
# **Formation energy from the elements**: -476 kJ/mol of formula units


# 4
# PBE-GGA CrHg2Cl, relaxed
data_CrHg2Cl
_chemical_formula_sum 'Cr1 Hg2 Cl1'
_symmetry_space_group_name_H-M 'P 4 m m'
_symmetry_Int_Tables_number 99
_cell_length_a 3.284
_cell_length_b 3.284
_cell_length_c 8.989
_cell_angle_alpha 90.00
_cell_angle_beta 90.00
_cell_angle_gamma 90.00
loop_
_symmetry_equiv_pos_as_xyz
'x,y,z'
'-y,x,z'
'-x,-y,z'
'y,-x,z'
'-x,y,z'
'y,x,z'
'x,-y,z'
'-y,-x,z'
loop_
_atom_site_label
_atom_site_type_symbol
_atom_site_fract_x
_atom_site_fract_y
_atom_site_fract_z
Cr1 Cr 0.000 0.000 0.000
Hg1 Hg 0.000 0.000 0.503
Hg2 Hg 0.500 0.500 0.219
Cl1 Cl 0.500 0.500 0.852
# **ΔE_f (raw)**: -22 meV/atom
# **E above lowest polymorph**: 74 meV/atom
# **DOS(E_F)**: 3.49 states/eV/f.u.
# **Calculated volume**: 24.24 Å³ per atom
# **DFT total energy**: -0.112 Ha/atom
# **Theoretical density**: 8.4 g/cm³


# 5
# PBE-GGA Ce2TmHfN4, relaxed
data_Ce2TmHfN4
_chemical_formula_sum 'Ce2 Tm1 Hf1 N4'
_symmetry_space_group_name_H-M 'P 1 2/m 1'
_symmetry_Int_Tables_number 10
_cell_length_a 5.891
_cell_length_b 3.391
_cell_length_c 6.019
_cell_angle_alpha 90.00
_cell_angle_beta 108.94
_cell_angle_gamma 90.00
loop_
_symmetry_equiv_pos_as_xyz
'x,y,z'
'-x,-y,-z'
'-x,y,-z'
'x,-y,z'
loop_
_atom_site_label
_atom_site_type_symbol
_atom_site_fract_x
_atom_site_fract_y
_atom_site_fract_z
Ce1 Ce 0.000 0.000 0.000
Ce2 Ce 0.500 0.500 0.000
Tm1 Tm 0.000 0.500 0.500
Hf1 Hf 0.500 0.000 0.500
N1 N 0.256 0.000 0.728
N2 N 0.271 0.500 0.278
# **ΔE_f (raw)**: -1667 meV/atom
# **DOS(E_F)**: 5.34 states/eV/f.u.
# **Calculated volume**: 14.21 Å³ per atom
# **DFT total energy**: -0.335 Ha/atom
# **Theoretical density**: 10.0 g/cm³


# 6
# PBE-GGA Ac2Ga2Co, relaxed
data_Ac2Ga2Co
_chemical_formula_sum 'Ac8 Ga8 Co4'
_symmetry_space_group_name_H-M 'C 1 2/m 1'
_symmetry_Int_Tables_number 12
_cell_length_a 12.166
_cell_length_b 4.040
_cell_length_c 11.411
_cell_angle_alpha 90.00
_cell_angle_beta 114.17
_cell_angle_gamma 90.00
loop_
_symmetry_equiv_pos_as_xyz
'x,y,z'
'-x,-y,-z'
'-x,y,-z'
'x,-y,z'
'x+1/2,y+1/2,z'
'-x+1/2,-y+1/2,-z'
'-x+1/2,y+1/2,-z'
'x+1/2,-y+1/2,z'
loop_
_atom_site_label
_atom_site_type_symbol
_atom_site_fract_x
_atom_site_fract_y
_atom_site_fract_z
Ac1 Ac 0.005 0.000 0.342
Ac2 Ac 0.196 0.000 0.127
Ga1 Ga 0.020 0.500 0.889
Ga2 Ga 0.198 0.500 0.557
Co1 Co 0.186 0.500 0.323
# **E above lowest polymorph**: 0 meV/atom
# **DOS(E_F)**: 4.31 states/eV/f.u.
# **Calculated volume**: 25.59 Å³ per atom
# **DFT total energy**: -0.171 Ha/atom
# **Theoretical density**: 8.5 g/cm³
# **Formation energy from the elements**: -180 kJ/mol of formula units


# 7
# PBE-GGA PrTiO4, relaxed
data_PrTiO4
_chemical_formula_sum 'Pr2 Ti2 O8'
_symmetry_space_group_name_H-M 'P m m n'
_symmetry_Int_Tables_number 59
_cell_length_a 3.963
_cell_length_b 7.531
_cell_length_c 5.805
_cell_angle_alpha 90.00
_cell_angle_beta 90.00
_cell_angle_gamma 90.00
loop_
_symmetry_equiv_pos_as_xyz
'x,y,z'
'-x,-y,-z'
'-x+1/2,-y+1/2,z'
'x+1/2,y+1/2,-z'
'x+1/2,-y,-z'
'-x+1/2,y,z'
'-x,y+1/2,-z'
'x,-y+1/2,z'
loop_
_atom_site_label
_atom_site_type_symbol
_atom_site_fract_x
_atom_site_fract_y
_atom_site_fract_z
Pr1 Pr 0.250 0.250 0.074
Ti1 Ti 0.250 0.750 0.382
O1 O 0.250 0.250 0.641
O2 O 0.250 0.564 0.174
O3 O 0.250 0.750 0.701
# **ΔE_f (raw)**: -2782 meV/atom
# **DOS(E_F)**: 3.47 states/eV/f.u.
# **Calculated volume**: 14.44 Å³ per atom
# **DFT total energy**: -0.301 Ha/atom
# **Theoretical density**: 4.8 g/cm³


# 8
# PBE-GGA Pm2Zn7Hg, relaxed
data_Pm2Zn7Hg
_chemical_formula_sum 'Pm2 Zn7 Hg1'
_symmetry_space_group_name_H-M 'P -4 m 2'
_symmetry_Int_Tables_number 115
_cell_length_a 4.296
_cell_length_b 4.296
_cell_length_c 10.670
_cell_angle_alpha 90.00
_cell_angle_beta 90.00
_cell_angle_gamma 90.00
loop_
_symmetry_equiv_pos_as_xyz
'x,y,z'
'y,-x,-z'
'-x,-y,z'
'-y,x,-z'
'-x,y,z'
'-y,-x,-z'
'x,-y,z'
'y,x,-z'
loop_
_atom_site_label
_atom_site_type_symbol
_atom_site_fract_x
_atom_site_fract_y
_atom_site_fract_z
Pm1 Pm 0.000 0.500 0.238
Zn1 Zn 0.000 0.000 0.000
Zn2 Zn 0.000 0.500 0.648
Zn3 Zn 0.000 0.500 0.875
Zn4 Zn 0.500 0.500 0.000
Zn5 Zn 0.500 0.500 0.500
Hg1 Hg 0.000 0.000 0.500
# **DOS(E_F)**: 6.98 states/eV/f.u.
# **Calculated volume**: 19.69 Å³ per atom
# **DFT total energy**: -0.080 Ha/atom
# **Theoretical density**: 8.0 g/cm³
# **Formation energy from the elements**: -283 kJ/mol of formula units


# 9
# PBE-GGA ZnReBr2, relaxed
data_ZnReBr2
_chemical_formula_sum 'Zn4 Re4 Br8'
_symmetry_space_group_name_H-M 'F -4 3 m'
_symmetry_Int_Tables_number 216
_symmetry_space_group_name_Hall 'F -4 2 3'
_cell_length_a 7.142
_cell_length_b 7.142
_cell_length_c 7.142
_cell_angle_alpha 90.00
_cell_angle_beta 90.00
_cell_angle_gamma 90.00
loop_
_atom_site_label
_atom_site_type_symbol
_atom_site_fract_x
_atom_site_fract_y
_atom_site_fract_z
Zn1 Zn 0.000 0.000 0.000
Re1 Re 0.250 0.250 0.250
Br1 Br 0.000 0.000 0.500
Br2 Br 0.250 0.250 0.750
# **ΔE_f (raw)**: 1312 meV/atom
# **E above lowest polymorph**: 1124 meV/atom
# **DOS(E_F)**: 2.65 states/eV/f.u.
# **Calculated volume**: 22.77 Å³ per atom
# **DFT total energy**: -0.109 Ha/atom
# **Theoretical density**: 7.5 g/cm³


# 10
# PBE-GGA B5C7, relaxed
data_B5C7
_chemical_formula_sum 'B10 C14'
_symmetry_space_group_name_H-M 'C 1 2 1'
_symmetry_Int_Tables_number 5
_cell_length_a 11.196
_cell_length_b 3.822
_cell_length_c 3.708
_cell_angle_alpha 90.00
_cell_angle_beta 92.21
_cell_angle_gamma 90.00
loop_
_symmetry_equiv_pos_as_xyz
'x,y,z'
'-x,y,-z'
'x+1/2,y+1/2,z'
'-x+1/2,y+1/2,-z'
loop_
_atom_site_label
_atom_site_type_symbol
_atom_site_fract_x
_atom_site_fract_y
_atom_site_fract_z
B1 B 0.000 0.000 0.000
B2 B 0.092 0.346 0.271
B3 B 0.249 0.314 0.742
C1 C 0.000 0.576 0.500
C2 C 0.087 0.803 0.732
C3 C 0.158 0.045 0.492
C4 C 0.162 0.569 0.989
# **E above lowest polymorph**: 96 meV/atom
# **DOS(E_F)**: 1.69 states/eV/f.u.
# **Calculated volume**: 6.61 Å³ per atom
# **DFT total energy**: -0.287 Ha/atom
# **Theoretical density**: 2.9 g/cm³
# **Formation energy from the elements**: 410 kJ/mol of formula units